No. 1
{"formula": "RbMnI3", "functional": "PBE", "state": "relaxed", "dos_ef_per_ev_atom": 0.27, "volume_a3_per_cell": 540.3, "formation_energy_uncorrected_ev_per_atom": -0.2378, "dft_energy_ev_per_atom": -3.195, "cell": [[6.3611, 0.0000, 0.0000], [0.0000, 6.3611, 0.0000], [3.1806, 3.1806, 13.3516]], "species": ["I", "I", "I", "Rb", "Mn", "I", "Rb", "I", "Mn", "I"], "frac_coords": [[0.1310, 0.8805, 0.2390], [0.1195, 0.8690, 0.7610], [0.1195, 0.3700, 0.7610], [0.2500, 0.7500, 0.5000], [0.6993, 0.1993, 0.6013], [0.2979, 0.2979, 0.4042], [0.0000, 0.0000, 0.0000], [0.7021, 0.7021, 0.5958], [0.8007, 0.3007, 0.3987], [0.6300, 0.8805, 0.2390]]}

---

No. 2
{"formula": "PuFe4Au", "functional": "PBE", "state": "relaxed", "dos_ef_per_ev_atom": 1.27, "volume_a3_per_cell": 89.8, "formation_enthalpy_0k_ev_per_atom": -0.02, "dft_energy_ev_per_atom": -8.598, "cell": [[5.0268, 0.0000, 0.0000], [2.5134, 4.3534, 0.0000], [2.5134, 1.4511, 4.1044]], "species": ["Fe", "Fe", "Fe", "Fe", "Pu", "Au"], "frac_coords": [[0.6259, 0.6259, 0.1224], [0.6259, 0.6259, 0.6259], [0.1224, 0.6259, 0.6259], [0.6259, 0.1224, 0.6259], [0.2500, 0.2500, 0.2500], [0.0000, 0.0000, 0.0000]]}

---

No. 3
{"formula": "Sc2AlFe5B2", "functional": "PBE", "state": "relaxed", "dos_ef_per_ev_atom": 1.04, "volume_a3_per_cell": 234.2, "formation_enthalpy_0k_ev_per_atom": -0.38, "dft_energy_ev_per_atom": -7.585, "cell": [[-1.4508, 1.6740, 2.0734], [3.9827, -4.4925, 6.4141], [6.6087, 5.7886, -0.0492]], "species": ["Fe", "Fe", "Sc", "Fe", "Sc", "B", "Al", "B", "Sc", "Sc", "Fe", "B", "Fe", "Fe", "Fe", "B", "Fe", "Al", "Fe", "Fe"], "frac_coords": [[0.5000, 0.4318, 0.2772], [0.5000, 0.9318, 0.2228], [0.0000, 0.6760, 0.1760], [0.5000, 0.7228, 0.4318], [0.0000, 0.1760, 0.3240], [0.0000, 0.3787, 0.1213], [0.0000, 0.0000, 0.0000], [0.0000, 0.6213, 0.8787], [0.0000, 0.8240, 0.6760], [0.0000, 0.3240, 0.8240], [0.5000, 0.2228, 0.0682], [0.0000, 0.1213, 0.6213], [0.5000, 0.5682, 0.7228], [0.5000, 0.5000, 0.0000], [0.5000, 0.0000, 0.5000], [0.0000, 0.8787, 0.3787], [0.5000, 0.0682, 0.7772], [0.0000, 0.5000, 0.5000], [0.5000, 0.2772, 0.5682], [0.5000, 0.7772, 0.9318]]}

---

No. 4
{"formula": "Na6BrCl5", "functional": "PBE", "state": "relaxed", "dos_ef_per_ev_atom": 0.00, "volume_a3_per_cell": 284.9, "formation_energy_uncorrected_ev_per_atom": -1.7601, "dft_energy_ev_per_atom": -3.328, "cell": [[6.9218, -0.1172, -1.3062], [-3.7478, 5.8205, -1.3062], [0.1340, 0.2408, 7.0390]], "species": ["Na", "Na", "Cl", "Na", "Na", "Br", "Cl", "Cl", "Cl", "Na", "Cl", "Na"], "frac_coords": [[0.7437, 0.7437, 0.2558], [0.9159, 0.5735, 0.7468], [0.3338, 0.6662, 0.0000], [0.5735, 0.9159, 0.7468], [0.0841, 0.4265, 0.2532], [0.0000, 0.0000, 0.0000], [0.1667, 0.8333, 0.5000], [0.6662, 0.3338, 0.0000], [0.8333, 0.1667, 0.5000], [0.4265, 0.0841, 0.2532], [0.5000, 0.5000, 0.5000], [0.2563, 0.2563, 0.7442]]}

---

No. 5
{"formula": "MgTl2Fe", "functional": "PBE", "state": "relaxed", "dos_ef_per_ev_atom": 0.75, "volume_a3_per_cell": 90.4, "formation_enthalpy_0k_ev_per_atom": 0.33, "dft_energy_ev_per_atom": -3.371, "cell": [[-3.3882, -4.7007, -3.7055], [1.0135, -2.5001, -6.3270], [1.8529, 1.3288, 6.4891]], "species": ["Fe", "Tl", "Tl", "Mg"], "frac_coords": [[0.5003, 0.5003, 0.0000], [0.0091, 0.0091, 0.0000], [0.3048, 0.8048, 0.5000], [0.6858, 0.1858, 0.5000]]}

---

No. 6
{"formula": "Ca2SiAg2", "functional": "PBE", "state": "relaxed", "dos_ef_per_ev_atom": 0.74, "volume_a3_per_cell": 234.5, "formation_energy_uncorrected_ev_per_atom": -0.1907, "dft_energy_ev_per_atom": -3.216, "cell": [[7.1100, 0.0000, 0.0000], [0.0000, 7.1100, 0.0000], [0.0000, 0.0000, 4.6384]], "species": ["Si", "Ca", "Si", "Ca", "Ag", "Ag", "Ag", "Ag", "Ca", "Ca"], "frac_coords": [[0.0000, 0.0000, 0.0000], [0.1815, 0.6815, 0.5000], [0.5000, 0.5000, 0.0000], [0.6815, 0.8185, 0.5000], [0.6373, 0.1373, 0.0000], [0.3627, 0.8627, 0.0000], [0.8627, 0.6373, 0.0000], [0.1373, 0.3627, 0.0000], [0.3185, 0.1815, 0.5000], [0.8185, 0.3185, 0.5000]]}

---

No. 7
{"formula": "ScTl2CoGe", "functional": "PBE", "state": "relaxed", "dos_ef_per_ev_atom": 1.38, "volume_a3_per_cell": 113.5, "formation_enthalpy_0k_ev_per_atom": 0.24, "dft_energy_ev_per_atom": -4.322, "cell": [[5.0498, 0.0000, 0.0000], [0.0000, 4.4511, 0.0000], [0.0000, 0.0000, 5.0498]], "species": ["Ge", "Tl", "Tl", "Co", "Sc"], "frac_coords": [[0.0000, 0.5000, 0.0000], [0.0000, 0.0000, 0.5000], [0.5000, 0.0000, 0.0000], [0.0000, 0.0000, 0.0000], [0.5000, 0.5000, 0.5000]]}

---

No. 8
{"formula": "Nd5DyHo2Th", "functional": "PBE", "state": "relaxed", "dos_ef_per_ev_atom": 1.43, "volume_a3_per_cell": 623.8, "formation_enthalpy_0k_ev_per_atom": 0.14, "dft_energy_ev_per_atom": -4.859, "cell": [[5.4191, 0.0000, 0.0000], [-2.7096, 10.8556, 0.0000], [0.0000, 0.0000, 10.6038]], "species": ["Nd", "Dy", "Nd", "Ho", "Nd", "Nd", "Dy", "Nd", "Nd", "Th", "Nd", "Nd", "Ho", "Th", "Ho", "Nd", "Nd", "Ho"], "frac_coords": [[0.6254, 0.2507, 0.5082], [0.6016, 0.2032, 0.0081], [0.9976, 0.9953, 0.0081], [0.1131, 0.2262, 0.7623], [0.5000, 0.0000, 0.2581], [0.7219, 0.4438, 0.8152], [0.3984, 0.7968, 0.5081], [0.2782, 0.5565, 0.7015], [0.5000, 0.0000, 0.7581], [0.7866, 0.5732, 0.5083], [0.3746, 0.7493, 0.0082], [0.2781, 0.5562, 0.3152], [0.8870, 0.7740, 0.7540], [0.2134, 0.4268, 0.0083], [0.8869, 0.7738, 0.2623], [0.0024, 0.0047, 0.5081], [0.7218, 0.4435, 0.2015], [0.1130, 0.2260, 0.2540]]}

---

No. 9
{"formula": "GdErSc2", "functional": "PBE", "state": "relaxed", "dos_ef_per_ev_atom": 1.84, "volume_a3_per_cell": 110.8, "formation_enthalpy_0k_ev_per_atom": 0.05, "dft_energy_ev_per_atom": -7.774, "cell": [[4.6626, 0.0000, 0.0000], [0.0000, 4.8748, 0.0000], [0.0000, 0.0000, 4.8748]], "species": ["Sc", "Gd", "Er", "Sc"], "frac_coords": [[0.0000, 0.0000, 0.5000], [0.5000, 0.0000, 0.0000], [0.5000, 0.5000, 0.5000], [0.0000, 0.5000, 0.0000]]}

---

No. 10
{"formula": "Tl2CuICl6", "functional": "PBE", "state": "relaxed", "dos_ef_per_ev_atom": 0.03, "volume_a3_per_cell": 331.6, "formation_energy_uncorrected_ev_per_atom": -0.6116, "dft_energy_ev_per_atom": -2.757, "cell": [[7.3617, -0.0349, 0.4170], [0.0036, 8.2198, 0.9046], [3.9803, 4.8027, 6.2357]], "species": ["Cl", "Tl", "Cl", "Cu", "Cl", "Cl", "Tl", "Cl", "Cl", "I"], "frac_coords": [[0.2774, 0.7301, 0.8945], [0.6967, 0.3070, 0.4698], [0.7340, 0.8010, 0.0531], [0.0000, 0.0000, 0.0000], [0.8105, 0.7394, 0.4028], [0.1895, 0.2606, 0.5972], [0.3033, 0.6930, 0.5302], [0.2660, 0.1990, 0.9469], [0.7226, 0.2699, 0.1055], [0.5000, 0.5000, 0.0000]]}

---

No. 11
{"formula": "Y2In3Au4", "functional": "PBE", "state": "relaxed", "dos_ef_per_ev_atom": 0.50, "volume_a3_per_cell": 406.6, "formation_enthalpy_0k_ev_per_atom": -0.51, "dft_energy_ev_per_atom": -4.321, "cell": [[6.0564, 0.0000, 0.0000], [0.0000, 7.9622, 0.0000], [-3.0282, 0.0000, 8.4328]], "species": ["Au", "In", "Y", "Au", "In", "Au", "In", "Y", "Au", "Au", "Au", "In", "In", "Y", "In", "Y", "Au", "Au"], "frac_coords": [[0.6887, 0.7500, 0.8774], [0.0000, 0.0000, 0.0000], [0.8995, 0.4024, 0.7990], [0.3113, 0.2500, 0.1226], [0.9804, 0.2500, 0.4607], [0.6671, 0.5383, 0.3343], [0.0196, 0.7500, 0.5393], [0.6005, 0.9024, 0.2010], [0.8329, 0.0383, 0.6657], [0.8113, 0.2500, 0.1226], [0.1887, 0.7500, 0.8774], [0.4804, 0.2500, 0.4607], [0.5000, 0.5000, 0.0000], [0.3995, 0.0976, 0.7990], [0.5196, 0.7500, 0.5393], [0.1005, 0.5976, 0.2010], [0.1671, 0.9617, 0.3343], [0.3329, 0.4617, 0.6657]]}

---

No. 12
{"formula": "CaIClO2", "functional": "PBE", "state": "relaxed", "dos_ef_per_ev_atom": 0.46, "volume_a3_per_cell": 98.6, "formation_energy_uncorrected_ev_per_atom": 0.0085, "dft_energy_ev_per_atom": -3.054, "cell": [[4.4146, 0.0000, 0.0000], [0.0000, 4.4146, 0.0000], [0.0000, 0.0000, 5.0585]], "species": ["Ca", "I", "Cl", "O", "O"], "frac_coords": [[0.5000, 0.5000, 0.5000], [0.0000, 0.0000, 0.5000], [0.0000, 0.0000, 0.0000], [0.0000, 0.5000, 0.0000], [0.5000, 0.0000, 0.0000]]}

---

No. 13
{"formula": "La2OsAu2", "functional": "PBE", "state": "relaxed", "dos_ef_per_ev_atom": 1.07, "volume_a3_per_cell": 242.3, "formation_enthalpy_0k_ev_per_atom": -0.19, "dft_energy_ev_per_atom": -5.713, "cell": [[7.4914, 0.0000, 0.0000], [0.0000, 7.4914, 0.0000], [0.0000, 0.0000, 4.3169]], "species": ["La", "Au", "La", "Au", "La", "Au", "La", "Os", "Os", "Au"], "frac_coords": [[0.8191, 0.3191, 0.5000], [0.1323, 0.3677, 0.0000], [0.1809, 0.6809, 0.5000], [0.6323, 0.1323, 0.0000], [0.3191, 0.1809, 0.5000], [0.8677, 0.6323, 0.0000], [0.6809, 0.8191, 0.5000], [0.0000, 0.0000, 0.0000], [0.5000, 0.5000, 0.0000], [0.3677, 0.8677, 0.0000]]}